Version P
Zr3TcBi after structural relaxation, computed with PBE.

Computed properties:
SG	Pm-3m
spin magnetization	2.3	μB per cell

Cell lengths 5.3339, 5.3339, 5.3339 Å; angles 90.00, 90.00, 90.00 degrees
Fractional coordinates of all 5 atoms:
Zr (0.0000, 0.0000, 0.5000)
Zr (0.0000, 0.5000, 0.0000)
Zr (0.5000, 0.0000, 0.0000)
Tc (0.5000, 0.5000, 0.5000)
Bi (0.0000, 0.0000, 0.0000)



Version Q
Zr3TcBi after structural relaxation, computed with PBE.

Computed properties:
SG	Pm-3m
spin magnetization	0.0	μB per cell

Cell lengths 5.0548, 5.0548, 5.0548 Å; angles 90.00, 90.00, 90.00 degrees
Fractional coordinates of all 5 atoms:
Zr (0.0000, 0.0000, 0.5000)
Zr (0.0000, 0.5000, 0.0000)
Zr (0.5000, 0.0000, 0.0000)
Tc (0.0000, 0.0000, 0.0000)
Bi (0.5000, 0.5000, 0.5000)



Energy ordering: version Q at the bottom, the next structure 1364 meV/atom above.



Version P
ZrTc3Bi after structural relaxation, computed with PBE.

Computed properties:
SG	Pm-3m
spin magnetization	2.6	μB per cell

Cell lengths 4.8533, 4.8533, 4.8533 Å; angles 90.00, 90.00, 90.00 degrees
Fractional coordinates of all 5 atoms:
Zr (0.0000, 0.0000, 0.0000)
Tc (0.0000, 0.0000, 0.5000)
Tc (0.0000, 0.5000, 0.0000)
Tc (0.5000, 0.0000, 0.0000)
Bi (0.5000, 0.5000, 0.5000)



Version Q
ZrTc3Bi after structural relaxation, computed with PBE.

Computed properties:
SG	Pm-3m
spin magnetization	1.1	μB per cell

Cell lengths 4.8965, 4.8965, 4.8965 Å; angles 90.00, 90.00, 90.00 degrees
Fractional coordinates of all 5 atoms:
Zr (0.0000, 0.0000, 0.0000)
Tc (0.0000, 0.5000, 0.5000)
Tc (0.5000, 0.0000, 0.5000)
Tc (0.5000, 0.5000, 0.0000)
Bi (0.5000, 0.5000, 0.5000)



Energy ordering: version P at the bottom, the next structure 206 meV/atom above.